## BaY2NpO8 (PBE)

Data for crystalline BaY2NpO8 at its relaxed geometry.

Values from the calculation:
- Total DFT energy (no corrections): -101.6 eV/cell
- Total magnetic moment: 0.9 μB/f.u.
- ΔE_f (raw): -2.843 eV per atom

Lattice parameters (Å, degrees): 5.1430 7.5173 5.1559 90.00 90.23 90.00
Space group P2/m (No. 10)
One atom of each set of equivalent atoms:
1 Ba 0.0000 0.0000 0.0000 (multiplicity 1)
2 Y 0.5000 0.2660 0.5000 (multiplicity 2)
3 Np 0.0000 0.5000 0.0000 (multiplicity 1)
4 O 0.1862 0.3051 0.1893 (multiplicity 4)
5 O 0.2897 0.5000 0.7133 (multiplicity 2)
6 O 0.3527 0.0000 0.6539 (multiplicity 2)